(1)
# Li4Ac3Zn2

A relaxed structure of Li4Ac3Zn2 (GGA-PBE, the Alexandria database).

Cell: 6.1929 6.1929 9.2746 Å, 110.12 110.12 47.10°
With the nearest neighbours (Å) after each atom.
Fractional positions:
Li 0.1086 0.1086 0.1628  1 Li 2.72, 2 Zn 2.74
Li 0.2883 0.2883 0.4556  3 Li 2.72-2.85, 1 Zn 2.76
Li 0.7117 0.7117 0.5444  3 Li 2.72-2.85, 1 Zn 2.76
Li 0.8914 0.8914 0.8372  1 Li 2.72, 2 Zn 2.74
Ac 0.0000 0.0000 0.5000  2 Zn 3.20, 6 Li 3.37-3.45
Ac 0.3980 0.3980 0.1374  4 Zn 3.31-3.62, 6 Li 3.38-3.70
Ac 0.6020 0.6020 0.8626  4 Zn 3.31-3.62, 6 Li 3.38-3.70
Zn 0.2848 0.2848 0.7520  5 Li 2.74-3.05
Zn 0.7152 0.7152 0.2480  5 Li 2.74-3.05

Formation enthalpy at 0 K: -0.044 eV/atom
M_tot: 0.00 μB/atom
DFT total energy: -2.5477 eV per atom
Theoretical density: 5.8 g/cm3
Space-group type: C2/m

=====

(2)
# Li4AcZn8

A relaxed structure of Li4AcZn8 (GGA-PBE, the Alexandria database).

Cell: 7.2015 7.2015 7.2015 Å, 96.44 96.44 140.86°
With the nearest neighbours (Å) after each atom.
Fractional positions:
Li 0.0000 0.0000 0.5000  2 Li 2.41, 4 Zn 2.69
Li 0.0000 0.5000 0.0000  2 Li 2.41, 4 Zn 2.69
Li 0.5000 0.0000 0.0000  2 Li 2.41, 4 Zn 2.69
Li 0.5000 0.5000 0.5000  2 Li 2.41, 4 Zn 2.69
Ac 0.0000 0.0000 0.0000  12 Zn 3.33-3.46, 8 Li 3.60
Zn 0.0000 0.3607 0.3607  5 Zn 2.67-2.83, 4 Li 2.89
Zn 0.0000 0.6393 0.6393  5 Zn 2.67-2.83, 4 Li 2.89
Zn 0.2605 0.5000 0.7605  4 Zn 2.68-2.83, 4 Li 2.69
Zn 0.3607 0.0000 0.3607  5 Zn 2.67-2.83, 4 Li 2.89
Zn 0.5000 0.2605 0.7605  4 Zn 2.68-2.83, 4 Li 2.69
Zn 0.5000 0.7395 0.2395  4 Zn 2.68-2.83, 4 Li 2.69
Zn 0.6393 0.0000 0.6393  5 Zn 2.67-2.83, 4 Li 2.89
Zn 0.7395 0.5000 0.2395  4 Zn 2.68-2.83, 4 Li 2.69

Formation enthalpy at 0 K: -0.185 eV/atom
M_tot: 0.00 μB/atom
DFT total energy: -1.8735 eV per atom
Theoretical density: 5.8 g/cm3
Space-group type: I4/mmm